Entry 1:
La2Sm3DyAs6: relaxed, GGA-PBE.

The final energy comes out at -6.24 eV per atom. The energy of formation from the pure elements is -1533 meV/atom. As for the crystal system: monoclinic. The value obtained for the volume is 653.7 Å³/cell.

It has space group C2/m (No. 12), with a = 18.541 Å, b = 4.257 Å, c = 8.511 Å, α = 90.00°, β = 103.31° and γ = 90.00°. Symmetry generates all atoms from La at (0.165, 0.000, 0.331), Sm at (0.000, 0.500, 0.500), Sm at (0.167, 0.000, 0.834), Dy at (0.000, 0.500, 0.000), As at (0.002, 0.000, 0.756), As at (0.165, 0.500, 0.077) and As at (0.165, 0.500, 0.588).


Entry 2:
La3SmDy2As6: relaxed, GGA-PBE.

The final energy comes out at -6.26 eV per atom. The energy of formation from the pure elements is -1545 meV/atom. As for the crystal system: monoclinic. The value obtained for the volume is 657.9 Å³/cell.

It has space group C2/m (No. 12), with a = 7.387 Å, b = 12.794 Å, c = 7.383 Å, α = 90.00°, β = 109.47° and γ = 90.00°. Symmetry generates all atoms from La at (0.000, 0.000, 0.000), La at (0.000, 0.334, 0.000), Sm at (0.000, 0.500, 0.500), Dy at (0.000, 0.167, 0.500), As at (0.243, 0.000, 0.738) and As at (0.248, 0.332, 0.739).


Entry 3:
LaSm3Dy2As6: relaxed, GGA-PBE.

The final energy comes out at -6.21 eV per atom. The energy of formation from the pure elements is -1528 meV/atom. As for the crystal system: monoclinic. The value obtained for the volume is 634.0 Å³/cell.

It has space group C2/m (No. 12), with a = 7.295 Å, b = 12.634 Å, c = 7.296 Å, α = 90.00°, β = 109.47° and γ = 90.00°. Symmetry generates all atoms from La at (0.000, 0.000, 0.000), Sm at (0.000, 0.165, 0.500), Sm at (0.000, 0.500, 0.500), Dy at (0.000, 0.333, 0.000), As at (0.242, 0.500, 0.248) and As at (0.247, 0.330, 0.751).


Entry 4:
La2SmDy3As6: relaxed, GGA-PBE.

The final energy comes out at -6.23 eV per atom. The energy of formation from the pure elements is -1537 meV/atom. As for the crystal system: monoclinic. The value obtained for the volume is 638.5 Å³/cell.

It has space group C2/m (No. 12), with a = 18.393 Å, b = 4.225 Å, c = 8.441 Å, α = 90.00°, β = 103.21° and γ = 90.00°. Symmetry generates all atoms from La at (0.166, 0.000, 0.332), Sm at (0.000, 0.500, 0.000), Dy at (0.000, 0.500, 0.500), Dy at (0.167, 0.000, 0.834), As at (0.003, 0.000, 0.748), As at (0.164, 0.500, 0.591) and As at (0.168, 0.500, 0.075).


Entry 5:
SrLa2DyAs4: relaxed, GGA-PBE.

The final energy comes out at -5.70 eV per atom. The energy of formation from the pure elements is -1356 meV/atom. As for the crystal system: monoclinic. The value obtained for the volume is 230.3 Å³/cell.

It has space group P2/m (No. 10), with a = 7.444 Å, b = 4.341 Å, c = 7.564 Å, α = 90.00°, β = 109.57° and γ = 90.00°. Symmetry generates all atoms from Sr at (0.000, 0.000, 0.000), La at (0.500, 0.000, 0.500), La at (0.500, 0.500, 0.000), Dy at (0.000, 0.500, 0.500), As at (0.243, 0.000, 0.738) and As at (0.252, 0.500, 0.262).


Entry 6:
LaTbDy2As4: relaxed, GGA-PBE.

The final energy comes out at -6.20 eV per atom. The energy of formation from the pure elements is -1533 meV/atom. As for the crystal system: monoclinic. The value obtained for the volume is 208.1 Å³/cell.

It has space group P2/m (No. 10), with a = 7.254 Å, b = 4.193 Å, c = 7.256 Å, α = 90.00°, β = 109.44° and γ = 90.00°. Symmetry generates all atoms from La at (0.000, 0.000, 0.000), Tb at (0.000, 0.500, 0.500), Dy at (0.500, 0.000, 0.500), Dy at (0.500, 0.500, 0.000), As at (0.255, 0.000, 0.746) and As at (0.259, 0.500, 0.259).


Entry 7:
La2TbDy3As6: relaxed, GGA-PBE.

The final energy comes out at -6.22 eV per atom. The energy of formation from the pure elements is -1535 meV/atom. As for the crystal system: monoclinic. The value obtained for the volume is 633.2 Å³/cell.

It has space group C2/m (No. 12), with a = 18.342 Å, b = 4.212 Å, c = 8.419 Å, α = 90.00°, β = 103.24° and γ = 90.00°. Symmetry generates all atoms from La at (0.165, 0.000, 0.331), Tb at (0.000, 0.500, 0.000), Dy at (0.000, 0.500, 0.500), Dy at (0.167, 0.000, 0.834), As at (0.003, 0.000, 0.751), As at (0.164, 0.500, 0.591) and As at (0.166, 0.500, 0.074).


Entry 8:
La2TbDyAs4: relaxed, GGA-PBE.

The final energy comes out at -6.26 eV per atom. The energy of formation from the pure elements is -1547 meV/atom. As for the crystal system: monoclinic. The value obtained for the volume is 217.6 Å³/cell.

It has space group P2/m (No. 10), with a = 7.360 Å, b = 4.256 Å, c = 7.367 Å, α = 90.00°, β = 109.48° and γ = 90.00°. Symmetry generates all atoms from La at (0.000, 0.000, 0.000), La at (0.000, 0.500, 0.500), Tb at (0.500, 0.000, 0.500), Dy at (0.500, 0.500, 0.000), As at (0.263, 0.000, 0.755) and As at (0.263, 0.500, 0.254).


Entry 9:
La2Tb3DyAs6: relaxed, GGA-PBE.

The final energy comes out at -6.22 eV per atom. The energy of formation from the pure elements is -1537 meV/atom. As for the crystal system: monoclinic. The value obtained for the volume is 636.4 Å³/cell.

It has space group C2/m (No. 12), with a = 18.374 Å, b = 4.219 Å, c = 8.434 Å, α = 90.00°, β = 103.28° and γ = 90.00°. Symmetry generates all atoms from La at (0.165, 0.000, 0.331), Tb at (0.000, 0.500, 0.500), Tb at (0.167, 0.000, 0.834), Dy at (0.000, 0.500, 0.000), As at (0.003, 0.000, 0.753), As at (0.164, 0.500, 0.590) and As at (0.166, 0.500, 0.074).


Entry 10:
La3Tb2DyAs6: relaxed, GGA-PBE.

The final energy comes out at -6.26 eV per atom. The energy of formation from the pure elements is -1548 meV/atom. As for the crystal system: monoclinic. The value obtained for the volume is 653.5 Å³/cell.

It has space group C2/m (No. 12), with a = 7.372 Å, b = 12.767 Å, c = 7.365 Å, α = 90.00°, β = 109.48° and γ = 90.00°. Symmetry generates all atoms from La at (0.000, 0.000, 0.000), La at (0.000, 0.333, 0.000), Tb at (0.000, 0.167, 0.500), Dy at (0.000, 0.500, 0.500), As at (0.245, 0.334, 0.737) and As at (0.247, 0.000, 0.738).


Entry 11:
La3TbDy2As6: relaxed, GGA-PBE.

The final energy comes out at -6.26 eV per atom. The energy of formation from the pure elements is -1546 meV/atom. As for the crystal system: monoclinic. The value obtained for the volume is 652.0 Å³/cell.

It has space group C2/m (No. 12), with a = 7.366 Å, b = 12.758 Å, c = 7.359 Å, α = 90.00°, β = 109.48° and γ = 90.00°. Symmetry generates all atoms from La at (0.000, 0.000, 0.000), La at (0.000, 0.333, 0.000), Tb at (0.000, 0.500, 0.500), Dy at (0.000, 0.167, 0.500), As at (0.245, 0.000, 0.737) and As at (0.246, 0.333, 0.737).


Entry 12:
La4DyTh3As8: relaxed, GGA-PBE.

The final energy comes out at -6.76 eV per atom. The energy of formation from the pure elements is -1525 meV/atom. As for the crystal system: trigonal. The value obtained for the volume is 1345.7 Å³/cell.

It has space group R-3m (No. 166, hexagonal axes), with a = 8.5775 Å, b = 8.5775 Å, c = 21.1205 Å, α = 90.00°, β = 90.00° and γ = 120.00°. Symmetry generates all atoms from La at (0.0000, 0.0000, 0.0000), La at (0.0000, 0.5000, 0.0000), Dy at (0.0000, 0.0000, 0.5000), Th at (0.0000, 0.5000, 0.5000), As at (0.0000, 0.0000, 0.2473) and As at (0.0025, 0.5012, 0.2465).